A geometry-optimized BaNaTl3 structure, computed with PBEsol.

Unit cell a=6.2865 b=6.2865 c=6.2865 alpha=90.00 beta=90.00 gamma=90.00
Closest atoms and distances in Å follow each position.
Fractional positions:
Ba  0.0000  0.0000  0.0000  6 Tl 3.14
Na  0.5000  0.5000  0.5000  12 Tl 4.45
Tl  0.0000  0.0000  0.5000  2 Ba 3.14
Tl  0.0000  0.5000  0.0000  2 Ba 3.14
Tl  0.5000  0.0000  0.0000  2 Ba 3.14

Energy of formation from the pure elements (kJ/mol of atoms): 50.1
Volume (A^3/atom): 49.69
Total DFT energy (no corrections) (eV per cell): -8.8

A geometry-optimized Ba2NaTl2 structure, computed with PBEsol.

Unit cell a=6.7100 b=6.7100 c=9.3202 alpha=90.00 beta=90.00 gamma=90.00
Closest atoms and distances in Å follow each position.
Fractional positions:
Ba  0.0000  0.5000  0.2500  4 Tl 3.48
Ba  0.0000  0.5000  0.7500  4 Tl 3.48
Ba  0.5000  0.0000  0.2500  4 Tl 3.48
Ba  0.5000  0.0000  0.7500  4 Tl 3.48
Na  0.0000  0.0000  0.0000  2 Tl 3.26
Na  0.5000  0.5000  0.5000  2 Tl 3.26
Tl  0.0000  0.0000  0.3498  1 Tl 2.80
Tl  0.0000  0.0000  0.6502  1 Tl 2.80
Tl  0.5000  0.5000  0.1502  1 Tl 2.80
Tl  0.5000  0.5000  0.8498  1 Tl 2.80

Energy of formation from the pure elements (kJ/mol of atoms): -15.2
Volume (A^3/atom): 41.96
Offset from the most stable computed form (meV/atom): 138
Total DFT energy (no corrections) (eV per cell): -23.5

A geometry-optimized BaNaTl2 structure, computed with PBEsol.

Unit cell a=7.9637 b=7.9637 c=7.9637 alpha=90.00 beta=90.00 gamma=90.00
Closest atoms and distances in Å follow each position.
Fractional positions:
Ba  0.0000  0.0000  0.0000  8 Tl 3.45
Ba  0.0000  0.5000  0.5000  8 Tl 3.45
Ba  0.5000  0.0000  0.5000  8 Tl 3.45
Ba  0.5000  0.5000  0.0000  8 Tl 3.45
Na  0.0000  0.0000  0.5000  8 Tl 3.45
Na  0.0000  0.5000  0.0000  8 Tl 3.45
Na  0.5000  0.0000  0.0000  8 Tl 3.45
Na  0.5000  0.5000  0.5000  8 Tl 3.45
Tl  0.2500  0.2500  0.2500  4 Ba 3.45, 4 Na 3.45
Tl  0.2500  0.2500  0.7500  4 Ba 3.45, 4 Na 3.45
Tl  0.2500  0.7500  0.2500  4 Ba 3.45, 4 Na 3.45
Tl  0.2500  0.7500  0.7500  4 Ba 3.45, 4 Na 3.45
Tl  0.7500  0.2500  0.2500  4 Ba 3.45, 4 Na 3.45
Tl  0.7500  0.2500  0.7500  4 Ba 3.45, 4 Na 3.45
Tl  0.7500  0.7500  0.2500  4 Ba 3.45, 4 Na 3.45
Tl  0.7500  0.7500  0.7500  4 Ba 3.45, 4 Na 3.45

Energy of formation from the pure elements (kJ/mol of atoms): -27.4
Volume (A^3/atom): 31.57
Total DFT energy (no corrections) (eV per cell): -39.8

A geometry-optimized BaNa3W structure, computed with PBEsol.

Unit cell a=6.0930 b=6.0930 c=6.0930 alpha=90.00 beta=90.00 gamma=90.00
Closest atoms and distances in Å follow each position.
Fractional positions:
Ba  0.0000  0.0000  0.0000  6 Na 3.05
Na  0.0000  0.0000  0.5000  2 Ba 3.05
Na  0.0000  0.5000  0.0000  2 Ba 3.05
Na  0.5000  0.0000  0.0000  2 Ba 3.05
W  0.5000  0.5000  0.5000  12 Na 4.31

Energy of formation from the pure elements (kJ/mol of atoms): 208.8
Volume (A^3/atom): 45.24
Total DFT energy (no corrections) (eV per cell): -9.3